Entry 1:
Material: SmHo7Er3
Method: DFT, PBE-GGA
State: optimized geometry

a b c (Å): 5.496 9.821 8.827
angles (deg): 105.31 128.51 90.00
Fractional positions:
Ho (0.500, 0.000, 0.500)
Ho (0.924, 0.832, 0.924)
Ho (0.852, 0.710, 0.352)
Ho (0.324, 0.642, 0.824)
Ho (0.676, 0.358, 0.176)
Ho (0.076, 0.168, 0.076)
Ho (0.148, 0.290, 0.648)
Sm (0.500, 0.500, 0.500)
Er (0.277, 0.997, 0.777)
Er (0.000, 0.500, 0.000)
Er (0.723, 0.003, 0.223)

Summary:
energy of formation from the pure elements	149	meV/atom
M_tot	0.00	μB per atom

***

Entry 2:
Material: AgSnHg2Se4
Method: DFT, PBE-GGA
State: optimized geometry

a b c (Å): 7.190 7.737 8.852
angles (deg): 90.00 90.00 90.00
Fractional positions:
Ag (0.999, 0.156, 0.500)
Ag (0.499, 0.844, 0.000)
Se (0.880, 0.331, 0.259)
Se (0.380, 0.669, 0.241)
Se (0.380, 0.669, 0.759)
Se (0.373, 0.162, 0.500)
Se (0.873, 0.838, 0.000)
Se (0.876, 0.832, 0.500)
Se (0.880, 0.331, 0.741)
Se (0.376, 0.168, 0.000)
Hg (0.998, 0.664, 0.247)
Hg (0.498, 0.336, 0.747)
Hg (0.498, 0.336, 0.253)
Hg (0.998, 0.664, 0.753)
Sn (0.996, 0.173, 0.000)
Sn (0.496, 0.827, 0.500)

Summary:
uncorrected formation energy	-0.1968	eV/atom
M_tot	0.00	μB per atom

***

Entry 3:
Material: Ba2DyPbSe4
Method: DFT, PBE-GGA
State: optimized geometry

a b c (Å): 4.412 7.725 7.790
angles (deg): 108.95 90.00 90.00
Fractional positions:
Se (0.500, 0.255, 0.222)
Se (0.000, 0.727, 0.215)
Se (0.000, 0.273, 0.785)
Se (0.500, 0.745, 0.778)
Pb (0.000, 0.000, 0.000)
Ba (0.000, 0.500, 0.500)
Ba (0.500, 0.000, 0.500)
Dy (0.500, 0.500, 0.000)

Summary:
uncorrected formation energy	-1.5528	eV/atom
M_tot	0.00	μB per atom

***

Entry 4:
Material: SrLi2MgGa
Method: DFT, PBE-GGA
State: optimized geometry

a b c (Å): 3.964 4.927 7.236
angles (deg): 109.90 105.90 90.00
Fractional positions:
Mg (0.186, 0.686, 0.372)
Sr (0.429, 0.429, 0.858)
Li (0.714, 0.214, 0.428)
Li (0.045, 0.045, 0.091)
Ga (0.838, 0.838, 0.676)

Summary:
energy of formation from the pure elements	-145	meV/atom
M_tot	0.00	μB per atom